NaPN2F | GGA-PBE | optimized geometry

The structure in POSCAR format:
```
NaPN2F
1.0
-4.2421 1.4023 -0.6273
-0.2293 -2.3997 -3.8137
-1.3173 -3.0819 2.0184
Na F N P
1 1 2 1
Cartesian
0.0000 0.0000 0.0000
-0.6586 -1.5409 1.0092
-0.1146 -1.1998 -1.9068
-2.1210 0.7011 -0.3137
-2.8943 -2.0396 -1.2113
```

Properties
E above lowest polymorph   2262 meV/atom
Formation energy from raw total energies   1.59 eV per atom
SG   No. 123
Calculated volume   15.93 A^3/atom